Below is a relaxed AlIrPb3 crystal, with properties calculated at the PBE-GGA level. Values from VASP.

Results
* crystal system: cubic
* energy above the lowest structure with this stoichiometry: 3.27 eV per formula unit
* N(E_F): 3.28 states/eV/f.u.
* energy: -3.622 eV/atom

The structure in Quantum ESPRESSO input format:
```
&SYSTEM
  ibrav = 0, nat = 5, ntyp = 3
/
ATOMIC_SPECIES
Al 26.98 Al.upf
Ir 192.22 Ir.upf
Pb 207.20 Pb.upf
CELL_PARAMETERS angstrom
5.234 0.000 0.000
0.000 5.234 0.000
0.000 0.000 5.234
ATOMIC_POSITIONS angstrom
Al 0.000 0.000 0.000
Ir 2.617 2.617 2.617
Pb 0.000 0.000 2.617
Pb 0.000 2.617 0.000
Pb 2.617 0.000 0.000
```